Ac3Mg2Cu4 | PBE-GGA | relaxed

* D(E_F): 5.76 states/eV/cell
* space-group type: C2/m, No. 12
* V: 25.1 Å³/atom
* E: -3.67 eV/atom
* ρ: 7.2 g/cm3

Lattice parameters (Å, degrees): 4.4533 6.4678 9.1509 112.41 90.00 110.14
With the nearest neighbours (Å) after each atom.
Sites, in units of the cell vectors:
Ac 0.6259 0.2519 0.7026  7 Cu 3.01-3.25
Ac 0.0000 0.0000 0.0000  8 Cu 3.39-3.61, 4 Mg 3.77
Ac 0.3741 0.7481 0.2974  7 Cu 3.01-3.25
Mg 0.6763 0.3526 0.3495  4 Cu 2.74-2.92
Mg 0.3237 0.6474 0.6505  4 Cu 2.74-2.92
Cu 0.7252 0.4505 0.0624  2 Cu 2.68, 1 Mg 2.92
Cu 0.2748 0.5495 0.9376  2 Cu 2.68, 1 Mg 2.92
Cu 0.9212 0.8424 0.5756  3 Mg 2.74-2.85, 1 Cu 2.78
Cu 0.0788 0.1576 0.4244  3 Mg 2.74-2.85, 1 Cu 2.78